Density functional theory data (PBE-GGA) for crystalline NbTlI2F at its relaxed geometry.

Symmetry: P4/mmm
Final energy in eV per atom: -3.20
Crystal system: tetragonal
ρ in g/cm³: 6.132

a = 5.910 Å, b = 4.420 Å, c = 5.910 Å
α = 90.00°, β = 90.00°, γ = 90.00°
Site moments in Bohr magnetons follow the coordinates.
Fractional coordinates of all 5 atoms:
Tl1 0.000 0.500 0.000  -0.05
F1 0.000 0.000 0.000  -0.08
I1 0.000 0.000 0.500  -0.08
Nb1 0.500 0.500 0.500  2.77
I2 0.500 0.000 0.000  -0.09